VASP calculation (PBEsol) on a relaxed LiAlZn2 crystal.

Energy of formation: -0.08 eV/atom
ρ: 4.68 Mg/m³
DOS at the Fermi energy: 1.2 states/eV/f.u.

```
data_LiAlZn2
_chemical_formula_sum 'Li1 Al1 Zn2'
_cell_length_a 2.738
_cell_length_b 3.903
_cell_length_c 5.465
_cell_angle_alpha 90.00
_cell_angle_beta 90.00
_cell_angle_gamma 90.00
_symmetry_space_group_name_H-M 'P m m 2'
_symmetry_Int_Tables_number 25
_symmetry_space_group_name_Hall 'P 2 -2'
loop_
_atom_site_label
_atom_site_type_symbol
_atom_site_fract_x
_atom_site_fract_y
_atom_site_fract_z
_atom_site_occupancy
Li1 Li 0.000 0.000 0.000 1
Al1 Al 0.500 0.500 0.737 1
Zn1 Zn 0.000 0.000 0.490 1
Zn2 Zn 0.500 0.500 0.236 1
```